Density functional theory data (GGA-PBE) for an optimized crystal structure of HoEr5Hg4.

Output
Its crystal system is tetragonal. Its energy of formation is -0.37 eV/atom. The density of states at the Fermi level comes out at 10.96 states/eV/f.u.

Cell lengths 3.6410, 3.6410, 20.0094 Å; angles 90.00, 90.00, 90.00 degrees
With the nearest neighbours (Å) after each atom.
Atoms (fractional coordinates):
Er 0.5000 0.5000 0.5000  8 Hg 3.19
Hg 0.0000 0.0000 0.5945  8 Er 3.18-3.19
Er 0.5000 0.5000 0.6877  8 Hg 3.18-3.22
Er 0.5000 0.5000 0.1220  4 Hg 3.19, 4 Ho 3.55
Hg 0.0000 0.0000 0.7841  8 Er 3.19-3.22
Er 0.5000 0.5000 0.8780  4 Hg 3.19, 4 Ho 3.55
Hg 0.0000 0.0000 0.4055  8 Er 3.18-3.19
Er 0.5000 0.5000 0.3123  8 Hg 3.18-3.22
Ho 0.0000 0.0000 0.0000  8 Er 3.55, 4 Ho 3.64
Hg 0.0000 0.0000 0.2159  8 Er 3.19-3.22